No. 1
Density functional theory data (PBE) for a relaxed structure of Sm4ErTl2.

Calculated values
DOS at the Fermi energy ... 1.7321 states/eV/atom
Energy above the most stable polymorph in this dataset ... 0 meV/atom
V ... 714.8 Å³ per cell
Formation energy from the elements ... 0.0384 eV/atom

Lattice parameters (Å, degrees): 5.5579 5.5579 26.7217 90.00 90.00 120.00
Space group R-3m (No. 166, hexagonal axes)
Unique sites:
1 Sm 0.0000 0.0000 0.1308 [6 per cell]
2 Sm 0.0000 0.0000 0.2667 [6 per cell]
3 Er 0.0000 0.0000 0.5000 [3 per cell]
4 Tl 0.0000 0.0000 0.3852 [6 per cell]

No. 2
Density functional theory data (PBE) for a relaxed structure of KNbBr3.

Calculated values
DOS at the Fermi energy ... 0.1955 states/eV/atom
Energy above the most stable polymorph in this dataset ... 0 meV/atom
Energy relative to the elements, uncorrected ... -1.043 eV per atom
V ... 302.6 Å³ per cell

Lattice parameters (Å, degrees): 8.538 3.777 9.788 90.00 106.49 90.00
Space group P2_1/m (No. 11)
Unique sites:
1 K 0.213 0.250 0.429 [2 per cell]
2 Nb 0.408 0.250 0.900 [2 per cell]
3 Br 0.091 0.250 0.715 [2 per cell]
4 Br 0.278 0.750 0.025 [2 per cell]
5 Br 0.457 0.750 0.684 [2 per cell]

No. 3
Density functional theory data (PBE) for a relaxed structure of Ca2ScMn.

Calculated values
DOS at the Fermi energy ... 1.8200 states/eV/atom
Energy above the most stable polymorph in this dataset ... 269 meV/atom
V ... 448.7 Å³ per cell
Formation energy from the elements ... 0.4649 eV/atom

Lattice parameters (Å, degrees): 7.656 7.656 7.656 90.00 90.00 90.00
Space group Fm-3m (No. 225)
Unique sites:
1 Ca 0.250 0.250 0.250 [8 per cell]
2 Sc 0.000 0.000 0.000 [4 per cell]
3 Mn 0.000 0.000 0.500 [4 per cell]

No. 4
Density functional theory data (PBE) for a relaxed structure of Na2NpBr4.

Calculated values
DOS at the Fermi energy ... 1.7852 states/eV/atom
Energy relative to the elements, uncorrected ... -1.122 eV per atom
V ... 520.3 Å³ per cell

Lattice parameters (Å, degrees): 5.825 5.825 15.335 90.00 90.00 90.00
Space group I4/mmm (No. 139)
Unique sites:
1 Na 0.000 0.000 0.129 [4 per cell]
2 Np 0.000 0.000 0.500 [2 per cell]
3 Br 0.000 0.000 0.312 [4 per cell]
4 Br 0.000 0.500 0.000 [4 per cell]

No. 5
Density functional theory data (PBE) for a relaxed structure of SrTiCuBr2.

Calculated values
DOS at the Fermi energy ... 1.4689 states/eV/atom
Energy relative to the elements, uncorrected ... 0.331 eV per atom
V ... 151.5 Å³ per cell

Lattice parameters (Å, degrees): 5.137 5.137 5.742 90.00 90.00 90.00
Space group P4/mmm (No. 123)
Unique sites:
1 Sr 0.000 0.000 0.000 [1 per cell]
2 Ti 0.500 0.500 0.000 [1 per cell]
3 Cu 0.000 0.000 0.500 [1 per cell]
4 Br 0.000 0.500 0.500 [2 per cell]

No. 6
Density functional theory data (PBE) for a relaxed structure of Li3MgHg.

Calculated values
DOS at the Fermi energy ... 0.5185 states/eV/atom
Energy above the most stable polymorph in this dataset ... 559 meV/atom
V ... 134.1 Å³ per cell
Formation energy from the elements ... 0.3621 eV/atom

Lattice parameters (Å, degrees): 5.119 5.119 5.119 90.00 90.00 90.00
Space group Pm-3m (No. 221)
Unique sites:
1 Li 0.000 0.000 0.500 [3 per cell]
2 Mg 0.000 0.000 0.000 [1 per cell]
3 Hg 0.500 0.500 0.500 [1 per cell]

No. 7
Density functional theory data (PBE) for a relaxed structure of La2InCo.

Calculated values
DOS at the Fermi energy ... 0.3841 states/eV/atom
V ... 212.4 Å³ per cell
Formation energy from the elements ... -0.1470 eV/atom

Lattice parameters (Å, degrees): 4.045 5.674 9.252 90.00 90.00 90.00
Space group Immm (No. 71)
Unique sites:
1 La 0.000 0.000 0.195 [4 per cell]
2 In 0.000 0.500 0.000 [2 per cell]
3 Co 0.000 0.500 0.500 [2 per cell]

No. 8
Density functional theory data (PBE) for a relaxed structure of Y5Pd2Au.

Calculated values
DOS at the Fermi energy ... 1.0729 states/eV/atom
V ... 806.0 Å³ per cell
Formation energy from the elements ... -0.6738 eV/atom

Lattice parameters (Å, degrees): 7.765 7.765 13.367 90.00 90.00 90.00
Space group I4/mcm (No. 140)
Unique sites:
1 Y 0.000 0.000 0.000 [4 per cell]
2 Y 0.162 0.338 0.144 [16 per cell]
3 Pd 0.132 0.368 0.500 [8 per cell]
4 Au 0.000 0.000 0.250 [4 per cell]

The lowest DOS at the Fermi energy belongs to which entry? KNbBr3

Which formula does entry 4 have? Na2NpBr4